Entry 1:
## Zr2BeTl (PBE)

Data for crystalline Zr2BeTl at its relaxed geometry.

Properties
Size of the total moment ... 0.00 μB/f.u.
Space group ... Fm-3m (225)
ΔE_f ... 0.60 eV/f.u.

a = 4.836 Å, b = 4.836 Å, c = 4.836 Å
α = 60.00°, β = 60.00°, γ = 60.00°
Sites, in units of the cell vectors:
Zr  0.250  0.250  0.250
Zr  0.750  0.750  0.750
Be  0.000  0.000  0.000
Tl  0.500  0.500  0.500

=====

Entry 2:
## Zr2BeTl (PBE)

Data for crystalline Zr2BeTl at its relaxed geometry.

Properties
Size of the total moment ... 0.00 μB/f.u.
Space group ... P4/mmm (123)
ΔE_f ... 0.23 eV/f.u.

a = 4.345 Å, b = 4.345 Å, c = 4.187 Å
α = 90.00°, β = 90.00°, γ = 90.00°
Sites, in units of the cell vectors:
Zr  0.000  0.500  0.000
Zr  0.500  0.000  0.000
Be  0.000  0.000  0.500
Tl  0.500  0.500  0.500

=====

Entry 3:
## ZrBeTl2 (PBE)

Data for crystalline ZrBeTl2 at its relaxed geometry.

Properties
Size of the total moment ... 0.00 μB/f.u.
Space group ... Pm (6)
ΔE_f ... 1.19 eV/f.u.

a = 3.295 Å, b = 4.228 Å, c = 6.315 Å
α = 90.00°, β = 99.48°, γ = 90.00°
Sites, in units of the cell vectors:
Zr  0.000  0.000  0.000
Be  0.535  0.500  0.141
Tl  0.405  0.500  0.727
Tl  0.703  0.000  0.428

=====

Entry 4:
## Zr2BeTl (PBE)

Data for crystalline Zr2BeTl at its relaxed geometry.

Properties
Size of the total moment ... 0.00 μB/f.u.
Space group ... I-42d (122)
ΔE_f ... 1.31 eV/f.u.

a = 6.094 Å, b = 6.094 Å, c = 6.094 Å
α = 102.98°, β = 102.98°, γ = 123.43°
Sites, in units of the cell vectors:
Zr  0.095  0.625  0.970
Zr  0.375  0.345  0.470
Zr  0.655  0.125  0.030
Zr  0.875  0.905  0.530
Be  0.000  0.000  0.000
Be  0.750  0.250  0.500
Tl  0.250  0.750  0.500
Tl  0.500  0.500  0.000

=====

Entry 5:
## ZrBe2Tl (PBE)

Data for crystalline ZrBe2Tl at its relaxed geometry.

Properties
Size of the total moment ... 0.00 μB/f.u.
Space group ... C2/m (12)
ΔE_f ... 2.06 eV/f.u.

a = 5.237 Å, b = 5.237 Å, c = 2.841 Å
α = 100.82°, β = 100.82°, γ = 111.39°
Sites, in units of the cell vectors:
Zr  0.000  0.000  0.000
Be  0.000  0.500  0.500
Be  0.500  0.000  0.500
Tl  0.500  0.500  0.000

=====

Entry 6:
## ZrBe2Tl (PBE)

Data for crystalline ZrBe2Tl at its relaxed geometry.

Properties
Size of the total moment ... 0.00 μB/f.u.
Space group ... P4/mmm (123)
ΔE_f ... 0.58 eV/f.u.

a = 4.185 Å, b = 4.185 Å, c = 3.683 Å
α = 90.00°, β = 90.00°, γ = 90.00°
Sites, in units of the cell vectors:
Zr  0.000  0.000  0.000
Be  0.000  0.500  0.500
Be  0.500  0.000  0.500
Tl  0.500  0.500  0.000

=====

Entry 7:
## ZrBeTl2 (PBE)

Data for crystalline ZrBeTl2 at its relaxed geometry.

Properties
Size of the total moment ... 0.00 μB/f.u.
Space group ... P4/mmm (123)
ΔE_f ... 0.99 eV/f.u.

a = 4.381 Å, b = 4.381 Å, c = 4.297 Å
α = 90.00°, β = 90.00°, γ = 90.00°
Sites, in units of the cell vectors:
Zr  0.000  0.000  0.000
Be  0.500  0.500  0.000
Tl  0.000  0.500  0.500
Tl  0.500  0.000  0.500

=====

Entry 8:
## ZrBeTl2 (PBE)

Data for crystalline ZrBeTl2 at its relaxed geometry.

Properties
Size of the total moment ... 0.00 μB/f.u.
Space group ... I-42d (122)
ΔE_f ... 1.30 eV/f.u.

a = 6.111 Å, b = 6.111 Å, c = 6.111 Å
α = 103.41°, β = 103.41°, γ = 122.41°
Sites, in units of the cell vectors:
Zr  0.000  0.000  0.000
Zr  0.750  0.250  0.500
Be  0.250  0.750  0.500
Be  0.500  0.500  0.000
Tl  0.181  0.625  0.056
Tl  0.375  0.431  0.556
Tl  0.569  0.125  0.944
Tl  0.875  0.819  0.444

=====

Entry 9:
## ZrBe2Tl (PBE)

Data for crystalline ZrBe2Tl at its relaxed geometry.

Properties
Size of the total moment ... 0.00 μB/f.u.
Space group ... R-3m (166)
ΔE_f ... 2.64 eV/f.u.

a = 9.171 Å, b = 9.171 Å, c = 9.171 Å
α = 19.28°, β = 19.28°, γ = 19.28°
Sites, in units of the cell vectors:
Zr  0.000  0.000  0.000
Be  0.252  0.252  0.252
Be  0.748  0.748  0.748
Tl  0.500  0.500  0.500

=====

Entry 10:
## ZrBe2Tl (PBE)

Data for crystalline ZrBe2Tl at its relaxed geometry.

Properties
Size of the total moment ... 0.00 μB/f.u.
Space group ... I-42d (122)
ΔE_f ... 2.59 eV/f.u.

a = 8.847 Å, b = 8.847 Å, c = 8.847 Å
α = 152.18°, β = 152.18°, γ = 39.75°
Sites, in units of the cell vectors:
Zr  0.000  0.000  0.000
Zr  0.750  0.250  0.500
Be  0.371  0.625  0.246
Be  0.375  0.621  0.746
Be  0.379  0.125  0.754
Be  0.875  0.629  0.254
Tl  0.250  0.750  0.500
Tl  0.500  0.500  0.000

=====

Entry 11:
## ZrBeTl2 (PBE)

Data for crystalline ZrBeTl2 at its relaxed geometry.

Properties
Size of the total moment ... 0.00 μB/f.u.
Space group ... Cmmm (65)
ΔE_f ... 1.71 eV/f.u.

a = 3.319 Å, b = 3.319 Å, c = 9.187 Å
α = 90.00°, β = 90.00°, γ = 119.86°
Sites, in units of the cell vectors:
Zr  0.000  0.000  0.000
Be  0.000  0.000  0.500
Tl  0.500  0.500  0.281
Tl  0.500  0.500  0.719

=====

Entry 12:
## Zr2BeTl (PBE)

Data for crystalline Zr2BeTl at its relaxed geometry.

Properties
Size of the total moment ... 0.00 μB/f.u.
Space group ... R-3m (166)
ΔE_f ... 0.24 eV/f.u.

a = 8.751 Å, b = 8.751 Å, c = 8.751 Å
α = 22.06°, β = 22.06°, γ = 22.06°
Sites, in units of the cell vectors:
Zr  0.233  0.233  0.233
Zr  0.767  0.767  0.767
Be  0.500  0.500  0.500
Tl  0.000  0.000  0.000